The following is a GGA-PBE calculation of a geometry-optimized SrSbTe2Ru structure, from the Alexandria database.

## Properties
**Energy**: -2.978 eV/atom
**Uncorrected formation energy**: 1294 meV per atom
**Density**: 4329 kg/m3
**Polymorph energy (0 for the lowest one)**: 1544 meV per atom
**M_tot**: 2.8 μB/cell

Lattice parameters (Å, degrees): 6.016 6.016 5.996 90.00 90.00 90.00
Fractional positions:
Te 0.500 0.000 0.000
Sb 0.000 0.000 0.500
Te 0.000 0.500 0.000
Ru 0.500 0.500 0.500
Sr 0.000 0.000 0.000

***

The following is a GGA-PBE calculation of a geometry-optimized SrSb2TeRu structure, from the Alexandria database.

## Properties
**Energy**: -2.981 eV/atom
**Uncorrected formation energy**: 1488 meV per atom
**Density**: 4439 kg/m3
**Polymorph energy (0 for the lowest one)**: 1713 meV per atom
**M_tot**: 2.7 μB/cell

Lattice parameters (Å, degrees): 5.952 5.952 5.912 90.00 90.00 90.00
Fractional positions:
Sr 0.000 0.000 0.000
Te 0.000 0.000 0.500
Sb 0.000 0.500 0.000
Sb 0.500 0.000 0.000
Ru 0.500 0.500 0.500

***

The following is a GGA-PBE calculation of a geometry-optimized SrSb2TeRu structure, from the Alexandria database.

## Properties
**Energy**: -4.694 eV/atom
**Uncorrected formation energy**: -225 meV per atom
**Density**: 6071 kg/m3
**Polymorph energy (0 for the lowest one)**: 0 meV per atom
**M_tot**: 0.0 μB/cell

Lattice parameters (Å, degrees): 5.032 5.032 6.047 90.00 90.00 90.00
Fractional positions:
Sr 0.500 0.500 0.500
Sb 0.000 0.500 0.000
Te 0.000 0.000 0.500
Ru 0.000 0.000 0.000
Sb 0.500 0.000 0.000

***

The following is a GGA-PBE calculation of a geometry-optimized SrZnSbRu2 structure, from the Alexandria database.

## Properties
**Energy**: -3.188 eV/atom
**Uncorrected formation energy**: 1938 meV per atom
**Density**: 6371 kg/m3
**M_tot**: 0.0 μB/cell

Lattice parameters (Å, degrees): 4.890 5.197 4.890 90.00 90.00 90.00
Fractional positions:
Sr 0.000 0.000 0.000
Zn 0.000 0.500 0.000
Ru 0.000 0.000 0.500
Ru 0.500 0.000 0.000
Sb 0.500 0.500 0.500

***

The following is a GGA-PBE calculation of a geometry-optimized Ta3SbRu structure, from the Alexandria database.

## Properties
**Energy**: -8.861 eV/atom
**Uncorrected formation energy**: 930 meV per atom
**Density**: 11324 kg/m3
**Polymorph energy (0 for the lowest one)**: 0 meV per atom
**M_tot**: 0.0 μB/cell

Lattice parameters (Å, degrees): 4.824 4.824 4.824 90.00 90.00 90.00
Fractional positions:
Ta 0.500 0.000 0.000
Ta 0.000 0.500 0.000
Ta 0.000 0.000 0.500
Sb 0.500 0.500 0.500
Ru 0.000 0.000 0.000

***

The following is a GGA-PBE calculation of a geometry-optimized TaSbRu structure, from the Alexandria database.

## Properties
**Energy**: -8.477 eV/atom
**Uncorrected formation energy**: -60 meV per atom
**Density**: 12440 kg/m3
**M_tot**: 0.0 μB/cell

Lattice parameters (Å, degrees): 4.965 3.091 7.339 90.00 106.87 90.00
Fractional positions:
Sb 0.530 0.000 0.071
Ta 0.891 0.500 0.405
Ru 0.305 0.000 0.362
Ta 0.004 0.500 0.021
Ru 0.117 0.000 0.715
Sb 0.549 0.500 0.675

***

The following is a GGA-PBE calculation of a geometry-optimized TaSb4Ru structure, from the Alexandria database.

## Properties
**Energy**: -5.008 eV/atom
**Uncorrected formation energy**: 1261 meV per atom
**Density**: 8769 kg/m3
**M_tot**: 1.0 μB/cell

Lattice parameters (Å, degrees): 5.905 5.905 5.905 60.00 60.00 60.00
Fractional positions:
Sb 0.375 0.375 0.875
Sb 0.875 0.375 0.375
Sb 0.375 0.875 0.375
Ru 0.000 0.000 0.000
Ta 0.750 0.750 0.750
Sb 0.375 0.375 0.375

***

The following is a GGA-PBE calculation of a geometry-optimized TaSbRu structure, from the Alexandria database.

## Properties
**Energy**: -8.323 eV/atom
**Uncorrected formation energy**: 94 meV per atom
**Density**: 12560 kg/m3
**M_tot**: 0.0 μB/cell

Lattice parameters (Å, degrees): 4.875 4.875 4.875 143.04 129.10 64.55
Fractional positions:
Sb 0.333 0.333 0.000
Ru 0.000 0.000 0.000
Ta 0.666 0.666 0.000

***

The following is a GGA-PBE calculation of a geometry-optimized TaSbRu structure, from the Alexandria database.

## Properties
**Energy**: -8.467 eV/atom
**Uncorrected formation energy**: -50 meV per atom
**Density**: 12279 kg/m3
**M_tot**: 0.0 μB/cell

Lattice parameters (Å, degrees): 7.338 3.169 10.620 90.00 117.80 90.00
Fractional positions:
Ta 0.670 0.500 0.856
Ta 0.062 0.000 0.075
Ru 0.381 0.000 0.622
Sb 0.337 0.500 0.373
Sb 0.768 0.500 0.147
Sb 0.337 0.000 0.873
Ta 0.062 0.500 0.575
Ru 0.030 0.500 0.853
Sb 0.768 0.000 0.647
Ta 0.670 0.000 0.356
Ru 0.381 0.500 0.122
Ru 0.030 0.000 0.353

***

The following is a GGA-PBE calculation of a geometry-optimized TaSbRu structure, from the Alexandria database.

## Properties
**Energy**: -8.475 eV/atom
**Uncorrected formation energy**: -58 meV per atom
**Density**: 12330 kg/m3
**M_tot**: 0.0 μB/cell

Lattice parameters (Å, degrees): 4.580 3.294 7.340 90.00 100.81 90.00
Fractional positions:
Ta 0.637 0.500 0.453
Ta 0.134 0.500 0.753
Sb 0.642 0.000 0.799
Ru 0.141 0.000 0.441
Ru 0.548 0.000 0.167
Sb 0.046 0.500 0.138

***

The following is a GGA-PBE calculation of a geometry-optimized TaSbRu structure, from the Alexandria database.

## Properties
**Energy**: -8.378 eV/atom
**Uncorrected formation energy**: 39 meV per atom
**Density**: 11980 kg/m3
**M_tot**: 0.0 μB/cell

Lattice parameters (Å, degrees): 6.074 6.075 3.147 74.99 74.99 30.02
Fractional positions:
Sb 0.338 0.338 0.662
Ru 0.018 0.018 0.982
Ta 0.645 0.645 0.355

***

The following is a GGA-PBE calculation of a geometry-optimized TaSbRu structure, from the Alexandria database.

## Properties
**Energy**: -8.484 eV/atom
**Uncorrected formation energy**: -67 meV per atom
**Density**: 11917 kg/m3
**M_tot**: 0.0 μB/cell

Lattice parameters (Å, degrees): 7.296 3.176 9.858 90.00 99.90 90.00
Fractional positions:
Ru 0.700 0.500 0.293
Ru 0.877 0.000 0.532
Ta 0.974 0.500 0.760
Ru 0.700 0.000 0.793
Ru 0.877 0.500 0.032
Sb 0.309 0.500 0.239
Ta 0.974 0.000 0.260
Ta 0.164 0.000 0.996
Sb 0.580 0.500 0.557
Sb 0.580 0.000 0.057
Ta 0.164 0.500 0.496
Sb 0.309 0.000 0.739

***

The following is a GGA-PBE calculation of a geometry-optimized TaSbRu structure, from the Alexandria database.

## Properties
**Energy**: -8.484 eV/atom
**Uncorrected formation energy**: -67 meV per atom
**Density**: 11256 kg/m3
**M_tot**: 0.0 μB/cell

Lattice parameters (Å, degrees): 3.125 6.216 12.268 90.00 90.00 90.00
Fractional positions:
Ta 0.000 0.748 0.953
Sb 0.000 0.500 0.154
Sb 0.000 0.000 0.654
Ru 0.500 0.500 0.331
Ta 0.000 0.252 0.953
Ta 0.000 0.248 0.453
Ru 0.500 0.500 0.842
Sb 0.500 0.000 0.119
Ru 0.500 0.000 0.831
Ta 0.000 0.752 0.453
Sb 0.500 0.500 0.619
Ru 0.500 0.000 0.342

***

The following is a GGA-PBE calculation of a geometry-optimized TaSbRu structure, from the Alexandria database.

## Properties
**Energy**: -8.471 eV/atom
**Uncorrected formation energy**: -54 meV per atom
**Density**: 12483 kg/m3
**M_tot**: 0.0 μB/cell

Lattice parameters (Å, degrees): 4.668 3.231 14.339 90.00 96.54 90.00
Fractional positions:
Sb 0.644 0.000 0.614
Ta 0.142 0.000 0.108
Sb 0.801 0.000 0.929
Sb 0.801 0.500 0.429
Sb 0.644 0.500 0.114
Ru 0.309 0.000 0.422
Ta 0.142 0.500 0.608
Ru 0.727 0.000 0.275
Ru 0.727 0.500 0.775
Ru 0.309 0.500 0.922
Ta 0.231 0.500 0.277
Ta 0.231 0.000 0.777

***

The following is a GGA-PBE calculation of a geometry-optimized Ta3SbRu structure, from the Alexandria database.

## Properties
**Energy**: -7.634 eV/atom
**Uncorrected formation energy**: 2158 meV per atom
**Density**: 10692 kg/m3
**Polymorph energy (0 for the lowest one)**: 1228 meV per atom
**M_tot**: 0.0 μB/cell

Lattice parameters (Å, degrees): 4.917 4.917 4.917 90.00 90.00 90.00
Fractional positions:
Ta 0.000 0.500 0.000
Ta 0.000 0.000 0.500
Ru 0.500 0.500 0.500
Sb 0.000 0.000 0.000
Ta 0.500 0.000 0.000

***

The following is a GGA-PBE calculation of a geometry-optimized TaSbRu structure, from the Alexandria database.

## Properties
**Energy**: -8.492 eV/atom
**Uncorrected formation energy**: -75 meV per atom
**Density**: 12732 kg/m3
**M_tot**: 0.0 μB/cell

Lattice parameters (Å, degrees): 4.495 4.495 3.010 90.00 90.00 120.00
Fractional positions:
Sb 0.000 0.000 0.000
Ta 0.333 0.667 0.500
Ru 0.667 0.333 0.000

***

The following is a GGA-PBE calculation of a geometry-optimized TaSbRu structure, from the Alexandria database.

## Properties
**Energy**: -8.473 eV/atom
**Uncorrected formation energy**: -56 meV per atom
**Density**: 11765 kg/m3
**M_tot**: 0.0 μB/cell

Lattice parameters (Å, degrees): 4.440 3.104 16.540 90.00 90.00 90.00
Fractional positions:
Ru 0.500 0.000 0.900
Sb 0.500 0.000 0.077
Sb 0.500 0.500 0.577
Ta 0.000 0.000 0.649
Ru 0.000 0.500 0.295
Ta 0.000 0.500 0.149
Ru 0.000 0.000 0.795
Ta 0.500 0.000 0.267
Ru 0.500 0.500 0.400
Sb 0.000 0.500 0.937
Ta 0.500 0.500 0.767
Sb 0.000 0.000 0.437

***

The following is a GGA-PBE calculation of a geometry-optimized TaSbRu structure, from the Alexandria database.

## Properties
**Energy**: -8.489 eV/atom
**Uncorrected formation energy**: -72 meV per atom
**Density**: 11840 kg/m3
**M_tot**: 0.0 μB/cell

Lattice parameters (Å, degrees): 6.003 3.203 6.081 90.00 104.37 90.00
Fractional positions:
Ta 0.630 0.000 0.942
Sb 0.298 0.500 0.604
Ta 0.138 0.000 0.941
Ru 0.457 0.500 0.213
Sb 0.780 0.000 0.501
Ru 0.946 0.500 0.194

***

The following is a GGA-PBE calculation of a geometry-optimized TaSbRu4 structure, from the Alexandria database.

## Properties
**Energy**: -8.583 eV/atom
**Uncorrected formation energy**: 264 meV per atom
**Density**: 12055 kg/m3
**M_tot**: 0.0 μB/cell

Lattice parameters (Å, degrees): 5.164 5.164 5.164 60.00 60.00 60.00
Fractional positions:
Ta 0.000 0.000 0.000
Ru 0.875 0.375 0.375
Ru 0.375 0.375 0.375
Ru 0.375 0.375 0.875
Ru 0.375 0.875 0.375
Sb 0.750 0.750 0.750

***

The following is a GGA-PBE calculation of a geometry-optimized TaSbRu structure, from the Alexandria database.

## Properties
**Energy**: -8.456 eV/atom
**Uncorrected formation energy**: -39 meV per atom
**Density**: 11238 kg/m3
**M_tot**: 0.0 μB/cell

Lattice parameters (Å, degrees): 3.146 3.085 6.149 90.00 90.00 90.00
Fractional positions:
Ru 0.500 0.500 0.141
Ta 0.000 0.000 0.376
Sb 0.500 0.000 0.773

***

The following is a GGA-PBE calculation of a geometry-optimized Ta5SbRu6 structure, from the Alexandria database.

## Properties
**Energy**: -10.247 eV/atom
**Uncorrected formation energy**: -327 meV per atom
**Density**: 14029 kg/m3
**M_tot**: 0.0 μB/cell

Lattice parameters (Å, degrees): 4.336 6.931 7.621 117.05 106.55 90.00
Fractional positions:
Ta 0.000 0.500 0.000
Ru 0.831 0.067 0.662
Ru 0.500 0.773 0.000
Ru 0.831 0.595 0.662
Ta 0.649 0.649 0.298
Ta 0.680 0.180 0.359
Ru 0.169 0.933 0.338
Ta 0.351 0.351 0.702
Ta 0.320 0.820 0.641
Ru 0.169 0.405 0.338
Sb 0.000 0.000 0.000
Ru 0.500 0.227 0.000

***

The following is a GGA-PBE calculation of a geometry-optimized Ta4SbRu structure, from the Alexandria database.

## Properties
**Energy**: -9.711 eV/atom
**Uncorrected formation energy**: 424 meV per atom
**Density**: 13821 kg/m3
**M_tot**: 0.0 μB/cell

Lattice parameters (Å, degrees): 5.438 5.438 5.438 60.00 60.00 60.00
Fractional positions:
Ta 0.375 0.876 0.375
Ta 0.375 0.375 0.375
Ta 0.375 0.375 0.876
Ru 0.750 0.750 0.750
Sb 0.000 0.000 0.000
Ta 0.876 0.375 0.375

***

The following is a GGA-PBE calculation of a geometry-optimized TaSbRu structure, from the Alexandria database.

## Properties
**Energy**: -8.303 eV/atom
**Uncorrected formation energy**: 114 meV per atom
**Density**: 11756 kg/m3
**M_tot**: 0.0 μB/cell

Lattice parameters (Å, degrees): 3.176 3.176 6.527 90.00 90.00 120.00
Fractional positions:
Ru 0.000 0.000 0.973
Ta 0.667 0.333 0.699
Sb 0.333 0.667 0.328

***

The following is a GGA-PBE calculation of a geometry-optimized TaSbTe2Ru structure, from the Alexandria database.

## Properties
**Energy**: -5.238 eV/atom
**Uncorrected formation energy**: 1069 meV per atom
**Density**: 8183 kg/m3
**Polymorph energy (0 for the lowest one)**: 0 meV per atom
**M_tot**: 2.2 μB/cell

Lattice parameters (Å, degrees): 5.222 5.222 4.904 90.00 90.00 90.00
Fractional positions:
Sb 0.000 0.000 0.500
Ru 0.000 0.000 0.000
Te 0.000 0.500 0.000
Ta 0.500 0.500 0.500
Te 0.500 0.000 0.000

***

The following is a GGA-PBE calculation of a geometry-optimized Ta2VSbRu structure, from the Alexandria database.

## Properties
**Energy**: -7.930 eV/atom
**Uncorrected formation energy**: 1314 meV per atom
**Density**: 9463 kg/m3
**M_tot**: 0.0 μB/cell

Lattice parameters (Å, degrees): 4.810 4.822 4.810 90.00 90.00 90.00
Fractional positions:
Sb 0.000 0.500 0.000
Ta 0.500 0.000 0.000
Ta 0.000 0.000 0.500
V 0.500 0.500 0.500
Ru 0.000 0.000 0.000

***

The following is a GGA-PBE calculation of a geometry-optimized Tb5SbRu2 structure, from the Alexandria database.

## Properties
**Energy**: -6.270 eV/atom
**Uncorrected formation energy**: -542 meV per atom
**Density**: 9113 kg/m3
**M_tot**: 0.0 μB/cell

Lattice parameters (Å, degrees): 7.766 7.766 8.708 116.48 116.48 90.00
Fractional positions:
Tb 0.791 0.978 0.268
Sb 0.250 0.250 0.500
Tb 0.291 0.791 0.268
Tb 0.000 0.000 0.000
Tb 0.978 0.478 0.268
Tb 0.209 0.022 0.732
Tb 0.500 0.500 0.000
Ru 0.359 0.859 0.000
Tb 0.709 0.209 0.732
Ru 0.859 0.641 0.000
Sb 0.750 0.750 0.500
Ru 0.641 0.141 0.000
Tb 0.522 0.709 0.732
Tb 0.478 0.291 0.268
Tb 0.022 0.522 0.732
Ru 0.141 0.359 0.000